{
  "formula": "ReRh2Au",
  "functional": "SCAN",
  "state": "PBEsol geometry",
  "cell": [[3.9129, 0.0000, 0.0000], [0.0000, 3.9129, 0.0000], [0.0000, 0.0000, 3.7762]],
  "species": ["Re", "Rh", "Rh", "Au"],
  "fractional_positions": [[0.0000, 0.0000, 0.0000], [0.0000, 0.5000, 0.5000], [0.5000, 0.0000, 0.5000], [0.5000, 0.5000, 0.0000]],
  "dft_energy_ev_per_atom": -51.643,
  "dos_at_fermi_per_ev_atom": 1.07,
  "delta_e_f_ev_per_atom": 0.31,
  "relative_energy_kj_per_mol_atoms": 37.5
}